Entry 1:
OsRuW (PBEsol, optimized geometry); M_tot = 0.0 μB/cell; energy relative to the elements = 0.111 eV per atom; space-group type = Imm2; total DFT energy (no corrections) = -11.955 eV/atom
1.0
-2.4119 -0.9347 -0.8359
1.5894 -1.1389 -3.3126
1.2567 -2.6372 3.7431
W Ru Os
1 1 1
direct
0.6664 0.6664 0.3327
0.3357 0.3357 0.6715
0.9979 0.9979 0.9958

---

Entry 2:
OsOF4 (PBEsol, optimized geometry); M_tot = 0.0 μB/cell; space-group type = P2_1/c; total DFT energy (no corrections) = -5.690 eV/atom; raw formation energy = -144.20 kJ/mol of atoms
1.0
-0.9674 5.3275 1.4463
-4.4609 -3.0021 -1.6729
-2.0317 -3.5875 11.8557
O Os F
4 4 16
direct
0.2913 0.1999 0.3731
0.7087 0.8001 0.6269
0.2913 0.6999 0.1269
0.7087 0.3001 0.8731
0.3794 0.6678 0.6469
0.6206 0.8322 0.1469
0.6206 0.3322 0.3531
0.3794 0.1678 0.8531
0.7350 0.7298 0.0228
0.4376 0.5293 0.7910
0.9569 0.4323 0.2928
0.9569 0.9323 0.2072
0.2650 0.7702 0.5228
0.5624 0.9707 0.2910
0.2650 0.2702 0.9772
0.0431 0.0677 0.7929
0.5624 0.4707 0.2090
0.7350 0.2298 0.4772
0.4376 0.0293 0.7090
0.7362 0.6693 0.4134
0.0431 0.5677 0.7071
0.2638 0.3307 0.5866
0.2638 0.8307 0.9134
0.7362 0.1693 0.0866

---

Entry 3:
Cu3Pt (PBEsol, optimized geometry); M_tot = 0.0 μB/cell; energy relative to the elements = -0.102 eV per atom; space-group type = Pmmn; total DFT energy (no corrections) = -5.094 eV/atom
1.0
-1.9734 -3.5596 1.2229
3.2579 -2.4320 -1.8217
2.6014 0.1070 4.5093
Cu Pt
6 2
direct
0.0000 0.6758 0.5000
0.5000 0.3242 0.0000
0.0000 0.1667 0.7478
0.0000 0.1667 0.2522
0.5000 0.8333 0.7522
0.5000 0.8333 0.2478
0.5000 0.3313 0.5000
0.0000 0.6687 0.0000

---

Entry 4:
GeMoSCl2 (PBEsol, optimized geometry); M_tot = 2.1 μB/cell; space-group type = P4/mmm; total DFT energy (no corrections) = -4.947 eV/atom; raw formation energy = 7.14 kJ/mol of atoms
1.0
-0.4837 4.5595 0.5309
-1.1269 -0.6532 4.5827
4.6020 0.3507 1.1816
Cl Mo S Ge
2 1 1 1
direct
0.0000 0.5000 0.0000
0.0000 0.0000 0.5000
0.0000 0.0000 0.0000
0.5000 0.0000 0.0000
0.5000 0.5000 0.5000